[1]
LaIn4Cl7 after structural relaxation, computed with PBE-GGA.

Geometry as extended XYZ:
```
12
Lattice="10.3404 -2.7619 0.0000 10.3404 2.7619 0.0000 -2.0732 0.0000 7.1849" Properties=species:S:1:pos:R:3 pbc="T T T"
La 0.0000 0.0000 0.0000
In 4.1946 0.0000 5.5099
In 7.8170 0.0000 2.7043
In 10.7906 0.0000 4.4806
In 14.4129 0.0000 1.6750
Cl 0.8347 0.0000 2.6341
Cl 0.6228 0.0000 6.3938
Cl 5.0154 0.0000 2.6674
Cl 10.3404 0.0000 0.0000
Cl 13.5922 0.0000 4.5175
Cl 17.9848 0.0000 0.7911
Cl 17.7729 0.0000 4.5508
```

SG: C2/m (12)
Electronic total energy: -44.5 eV/cell
Uncorrected formation energy: -1.307 eV per atom

[2]
Be3ReAu after structural relaxation, computed with PBE-GGA.

Geometry as extended XYZ:
```
5
Lattice="4.2200 0.0000 0.0000 0.0000 4.2200 0.0000 0.0000 0.0000 4.2200" Properties=species:S:1:pos:R:3 pbc="T T T"
Be 0.0000 0.0000 2.1100
Be 0.0000 2.1100 0.0000
Be 2.1100 0.0000 0.0000
Re 0.0000 0.0000 0.0000
Au 2.1100 2.1100 2.1100
```

SG: Pm-3m (221)
Electronic total energy: -21.3 eV/cell
Formation enthalpy at 0 K: 1.118 eV/atom

[3]
DyZnAgF6 after structural relaxation, computed with PBE-GGA.

Geometry as extended XYZ:
```
18
Lattice="5.7647 0.0000 0.0000 -2.8823 4.9924 0.0000 0.0000 0.0000 9.9783" Properties=species:S:1:pos:R:3 pbc="T T T"
Dy 0.0000 3.3282 2.4946
Dy 2.8823 1.6641 7.4837
Zn 0.0000 3.3282 7.4837
Zn 2.8823 1.6641 2.4946
Ag 0.0000 0.0000 0.0000
Ag 0.0000 0.0000 4.9891
F -0.9886 1.8750 6.3783
F -1.7528 3.1987 8.5891
F 0.9886 1.8750 8.5891
F -0.7642 4.9110 6.3783
F 2.1182 0.0813 1.3892
F 1.1295 1.7937 3.5999
F 1.7528 3.1987 6.3783
F 0.7642 4.9110 8.5891
F 3.6465 0.0813 3.5999
F 1.8937 3.1173 1.3892
F 4.6352 1.7937 1.3892
F 3.8710 3.1173 3.5999
```

SG: P-31c (163)
Electronic total energy: -89.8 eV/cell
Uncorrected formation energy: -2.769 eV per atom

[4]
NaIn2NiHg after structural relaxation, computed with PBE-GGA.

Geometry as extended XYZ:
```
5
Lattice="4.9524 0.0000 0.0000 0.0000 4.9524 0.0000 0.0000 0.0000 5.1376" Properties=species:S:1:pos:R:3 pbc="T T T"
Na 0.0000 0.0000 0.0000
In 0.0000 2.4762 2.5688
In 2.4762 0.0000 2.5688
Ni 2.4762 2.4762 2.5688
Hg 2.4762 2.4762 0.0000
```

SG: P4/mmm (123)
Electronic total energy: -13.3 eV/cell
Formation enthalpy at 0 K: -0.074 eV/atom